Record 1
# Tb2PuGeN5

A geometry-optimized Tb2PuGeN5 structure (GGA-PBE, Alexandria).

As for the uncorrected formation energy: -979.3 meV/atom.

It has space group Cmc2_1 (No. 36), with a = 3.330 Å, b = 14.080 Å, c = 10.138 Å, α = 90.00°, β = 90.00° and γ = 90.00°. The inequivalent atoms are Tb at (0.000, 0.112, 0.000), Tb at (0.000, 0.127, 0.593), Pu at (0.000, 0.214, 0.306), Ge at (0.000, 0.494, 0.774), N at (0.000, 0.050, 0.352), N at (0.000, 0.287, 0.947), N at (0.000, 0.300, 0.668), N at (0.000, 0.373, 0.312) and N at (0.000, 0.499, 0.090).

=====

Record 2
# LiTiMo2

A geometry-optimized LiTiMo2 structure (GGA-PBE, Alexandria).

The value obtained for the relative energy among the computed polymorphs is 0.213 eV/atom. The value obtained for the formation energy is 2.71 eV/f.u.

It has space group I-42d (No. 122), with a = 6.938 Å, b = 6.938 Å, c = 5.163 Å, α = 90.00°, β = 90.00° and γ = 90.00°. The inequivalent atoms are Li at (0.000, 0.000, 0.000), Ti at (0.000, 0.000, 0.500) and Mo at (0.232, 0.250, 0.125).

=====

Record 3
# CaYZr2

A geometry-optimized CaYZr2 structure (GGA-PBE, Alexandria).

The value obtained for the relative energy among the computed polymorphs is 0.304 eV/atom. The value obtained for the formation energy is 1.87 eV/f.u.

It has space group Fm-3m (No. 225), with a = 7.635 Å, b = 7.635 Å, c = 7.635 Å, α = 90.00°, β = 90.00° and γ = 90.00°. The inequivalent atoms are Ca at (0.000, 0.000, 0.000), Y at (0.000, 0.000, 0.500) and Zr at (0.250, 0.250, 0.250).

=====

Record 4
# Cd2WSe

A geometry-optimized Cd2WSe structure (GGA-PBE, Alexandria).

As for the uncorrected formation energy: 278.3 meV/atom.

It has space group Cm (No. 8), with a = 8.861 Å, b = 3.070 Å, c = 8.591 Å, α = 90.00°, β = 120.87° and γ = 90.00°. The inequivalent atoms are Cd at (0.000, 0.000, 0.000), Cd at (0.170, 0.500, 0.338), W at (0.388, 0.000, 0.669) and Se at (0.103, 0.000, 0.669).